No. 1
{
  "formula": "MnPSeSN",
  "functional": "PBE",
  "state": "relaxed",
  "dos_ef_per_ev_cell": 2.19,
  "dft_energy_ha_per_atom": -0.22635,
  "e_form_raw_ev_per_atom": -0.0559,
  "cell": [[2.756, 0.000, 0.000], [0.000, 3.922, 0.000], [1.308, 0.685, 8.491]],
  "species": ["Mn", "P", "Se", "S", "N"],
  "frac_coords": [[0.000, 0.000, 0.000], [0.580, 0.361, 0.830], [0.704, 0.449, 0.570], [0.406, 0.978, 0.197], [0.044, 0.567, 0.907]]
}

=====

No. 2
{
  "formula": "Sm2In3Hg4",
  "functional": "PBE",
  "state": "relaxed",
  "dos_ef_per_ev_cell": 3.56,
  "ef_ev_per_atom": -0.323,
  "dft_energy_ha_per_atom": -0.08888,
  "cell": [[4.412, -2.554, 0.000], [4.412, 2.554, 0.000], [-0.050, 0.000, 10.216]],
  "species": ["Sm", "Sm", "In", "In", "In", "Hg", "Hg", "Hg", "Hg"],
  "frac_coords": [[0.166, 0.166, 0.287], [0.834, 0.834, 0.713], [0.167, 0.167, 0.939], [0.500, 0.500, 0.500], [0.833, 0.833, 0.061], [0.167, 0.167, 0.608], [0.499, 0.499, 0.168], [0.501, 0.501, 0.832], [0.833, 0.833, 0.392]]
}

=====

No. 3
{
  "formula": "Ta2Ti2Os",
  "functional": "PBE",
  "state": "relaxed",
  "dos_ef_per_ev_cell": 8.40,
  "ef_ev_per_atom": -0.033,
  "dft_energy_ha_per_atom": -0.37403,
  "cell": [[-2.179, 2.179, 9.765], [2.179, -2.179, 9.765], [2.179, 2.179, -9.765]],
  "species": ["Ta", "Ta", "Ta", "Ta", "Ti", "Ti", "Ti", "Ti", "Os", "Os"],
  "frac_coords": [[0.049, 0.299, 0.750], [0.299, 0.049, 0.250], [0.701, 0.951, 0.750], [0.951, 0.701, 0.250], [0.204, 0.454, 0.750], [0.454, 0.204, 0.250], [0.546, 0.796, 0.750], [0.796, 0.546, 0.250], [0.375, 0.625, 0.750], [0.625, 0.375, 0.250]]
}

=====

No. 4
{
  "formula": "Pr2HgAu",
  "functional": "PBE",
  "state": "relaxed",
  "dos_ef_per_ev_cell": 5.52,
  "ef_ev_per_atom": -0.469,
  "dft_energy_ha_per_atom": -0.13792,
  "cell": [[2.062, 1.191, 8.392], [-2.062, 1.191, 8.392], [0.000, -2.381, 8.392]],
  "species": ["Pr", "Pr", "Hg", "Au"],
  "frac_coords": [[0.243, 0.243, 0.243], [0.757, 0.757, 0.757], [0.000, 0.000, 0.000], [0.500, 0.500, 0.500]]
}

=====

No. 5
{
  "formula": "RuCI3",
  "functional": "PBE",
  "state": "relaxed",
  "dos_ef_per_ev_cell": 4.77,
  "dft_energy_ha_per_atom": -0.10457,
  "e_form_raw_ev_per_atom": 1.7845,
  "cell": [[5.023, 0.000, 0.000], [0.000, 5.023, 0.000], [0.000, 0.000, 5.023]],
  "species": ["Ru", "C", "I", "I", "I"],
  "frac_coords": [[0.000, 0.000, 0.000], [0.500, 0.500, 0.500], [0.000, 0.500, 0.500], [0.500, 0.000, 0.500], [0.500, 0.500, 0.000]]
}

=====

No. 6
{
  "formula": "AsOs2PtCl",
  "functional": "PBE",
  "state": "relaxed",
  "dos_ef_per_ev_cell": 5.08,
  "dft_energy_ha_per_atom": -0.18860,
  "e_form_raw_ev_per_atom": 1.8671,
  "cell": [[4.340, 0.000, 0.000], [0.000, 4.340, 0.000], [0.000, 0.000, 4.667]],
  "species": ["As", "Os", "Os", "Pt", "Cl"],
  "frac_coords": [[0.000, 0.000, 0.000], [0.000, 0.500, 0.500], [0.500, 0.000, 0.500], [0.500, 0.500, 0.000], [0.000, 0.000, 0.500]]
}

=====

No. 7
{
  "formula": "Rb2CuTeBr6",
  "functional": "PBE",
  "state": "relaxed",
  "dos_ef_per_ev_cell": 6.05,
  "dft_energy_ha_per_atom": -0.10248,
  "e_form_raw_ev_per_atom": -0.8676,
  "cell": [[-3.922, 3.922, 5.613], [3.922, -3.922, 5.613], [3.922, 3.922, -5.613]],
  "species": ["Rb", "Rb", "Cu", "Te", "Br", "Br", "Br", "Br", "Br", "Br"],
  "frac_coords": [[0.250, 0.750, 0.500], [0.750, 0.250, 0.500], [0.000, 0.000, 0.000], [0.500, 0.500, 0.000], [0.214, 0.214, 0.000], [0.251, 0.251, 0.501], [0.251, 0.749, 0.000], [0.749, 0.251, 0.000], [0.749, 0.749, 0.499], [0.786, 0.786, 0.000]]
}

=====

No. 8
{
  "formula": "Y2AgBr",
  "functional": "PBE",
  "state": "relaxed",
  "dos_ef_per_ev_cell": 2.78,
  "dft_energy_ha_per_atom": -0.18242,
  "e_form_raw_ev_per_atom": -0.6007,
  "cell": [[3.599, 0.000, 0.000], [0.000, 3.645, 0.000], [0.000, 0.000, 8.372]],
  "species": ["Y", "Y", "Ag", "Br"],
  "frac_coords": [[0.000, 0.000, 0.214], [0.000, 0.000, 0.786], [0.500, 0.500, 0.000], [0.500, 0.000, 0.500]]
}

=====

No. 9
{
  "formula": "AcAsRhSe",
  "functional": "PBE",
  "state": "relaxed",
  "dos_ef_per_ev_cell": 7.48,
  "dft_energy_ha_per_atom": -0.21877,
  "e_form_raw_ev_per_atom": -1.0546,
  "cell": [[4.474, 0.000, 0.000], [0.000, 4.474, 0.000], [0.000, 0.000, 9.566]],
  "species": ["Ac", "Ac", "As", "As", "Rh", "Rh", "Se", "Se"],
  "frac_coords": [[0.250, 0.250, 0.227], [0.750, 0.750, 0.773], [0.250, 0.250, 0.625], [0.750, 0.750, 0.375], [0.250, 0.750, 0.500], [0.750, 0.250, 0.500], [0.250, 0.750, 0.000], [0.750, 0.250, 0.000]]
}

=====

No. 10
{
  "formula": "NdIn2Ru",
  "functional": "PBE",
  "state": "relaxed",
  "dos_ef_per_ev_cell": 3.00,
  "ef_ev_per_atom": -0.176,
  "dft_energy_ha_per_atom": -0.18582,
  "cell": [[3.375, 0.000, 0.000], [0.000, 3.375, 0.000], [0.000, 0.000, 7.770]],
  "species": ["Nd", "In", "In", "Ru"],
  "frac_coords": [[0.000, 0.000, 0.000], [0.500, 0.500, 0.304], [0.500, 0.500, 0.696], [0.000, 0.000, 0.500]]
}

=====

No. 11
{
  "formula": "MgAl2H4Pb2O4F6",
  "functional": "PBE",
  "state": "relaxed",
  "dft_energy_ha_per_atom": -0.19950,
  "cell": [[5.324, 0.000, 0.000], [-1.672, 5.270, 0.000], [-1.978, -1.164, 8.697]],
  "species": ["Mg", "Al", "Al", "H", "H", "H", "H", "Pb", "Pb", "O", "O", "O", "O", "F", "F", "F", "F", "F", "F"],
  "frac_coords": [[0.000, 0.000, 0.000], [0.470, 0.087, 0.845], [0.530, 0.913, 0.155], [0.023, 0.731, 0.757], [0.494, 0.646, 0.893], [0.506, 0.354, 0.107], [0.977, 0.269, 0.243], [0.072, 0.782, 0.419], [0.928, 0.218, 0.581], [0.092, 0.912, 0.799], [0.428, 0.179, 0.049], [0.572, 0.821, 0.951], [0.908, 0.088, 0.201], [0.164, 0.743, 0.105], [0.397, 0.366, 0.773], [0.495, 0.958, 0.658], [0.505, 0.042, 0.342], [0.603, 0.634, 0.227], [0.836, 0.257, 0.895]]
}

=====

No. 12
{
  "formula": "AcAg2Au6",
  "functional": "PBE",
  "state": "relaxed",
  "dos_ef_per_ev_cell": 2.54,
  "ef_ev_per_atom": -0.223,
  "dft_energy_ha_per_atom": -0.12854,
  "cell": [[5.600, 0.000, 0.000], [-2.800, 4.850, 0.000], [0.000, 0.000, 8.071]],
  "species": ["Ac", "Ag", "Ag", "Au", "Au", "Au", "Au", "Au", "Au"],
  "frac_coords": [[0.000, 0.000, 0.000], [0.333, 0.667, 0.500], [0.667, 0.333, 0.500], [0.000, 0.500, 0.208], [0.000, 0.500, 0.792], [0.500, 0.000, 0.208], [0.500, 0.000, 0.792], [0.500, 0.500, 0.208], [0.500, 0.500, 0.792]]
}

=====

No. 13
{
  "formula": "Th7Sn2Ru2",
  "functional": "PBE",
  "state": "relaxed",
  "dos_ef_per_ev_cell": 12.59,
  "ef_ev_per_atom": -0.379,
  "dft_energy_ha_per_atom": -0.27618,
  "cell": [[-1.889, 8.234, 5.105], [1.889, -8.234, 5.105], [1.889, 8.234, -5.105]],
  "species": ["Th", "Th", "Th", "Th", "Th", "Th", "Th", "Sn", "Sn", "Ru", "Ru"],
  "frac_coords": [[0.000, 0.000, 0.000], [0.043, 0.364, 0.679], [0.076, 0.732, 0.344], [0.388, 0.732, 0.656], [0.429, 0.564, 0.865], [0.685, 0.364, 0.321], [0.699, 0.564, 0.135], [0.325, 0.325, 0.000], [0.727, 0.227, 0.500], [0.280, 0.052, 0.228], [0.824, 0.052, 0.772]]
}

=====

No. 14
{
  "formula": "TcNCl2",
  "functional": "PBE",
  "state": "relaxed",
  "dos_ef_per_ev_cell": 2.93,
  "dft_energy_ha_per_atom": -0.15559,
  "e_form_raw_ev_per_atom": 1.3624,
  "cell": [[1.601, 0.924, 7.169], [-1.601, 0.924, 7.169], [0.000, -1.848, 7.169]],
  "species": ["Tc", "N", "Cl", "Cl"],
  "frac_coords": [[0.000, 0.000, 0.000], [0.500, 0.500, 0.500], [0.410, 0.410, 0.410], [0.590, 0.590, 0.590]]
}

=====

No. 15
{
  "formula": "Rb2Cd2Se2O",
  "functional": "PBE",
  "state": "relaxed",
  "dft_energy_ha_per_atom": -0.11920,
  "e_form_raw_ev_per_atom": -1.0018,
  "cell": [[6.730, -2.165, 0.000], [6.730, 2.165, 0.000], [-4.191, 0.000, 6.866]],
  "species": ["Rb", "Rb", "Cd", "Cd", "Se", "Se", "O"],
  "frac_coords": [[0.051, 0.051, 0.294], [0.949, 0.949, 0.706], [0.322, 0.322, 0.926], [0.678, 0.678, 0.074], [0.310, 0.310, 0.265], [0.690, 0.690, 0.735], [0.500, 0.500, 0.000]]
}

=====

No. 16
{
  "formula": "NaPaZnSn",
  "functional": "PBE",
  "state": "relaxed",
  "dos_ef_per_ev_cell": 4.53,
  "ef_ev_per_atom": 0.086,
  "dft_energy_ha_per_atom": -0.14467,
  "cell": [[0.000, 3.646, 3.646], [3.646, 0.000, 3.646], [3.646, 3.646, 0.000]],
  "species": ["Na", "Pa", "Zn", "Sn"],
  "frac_coords": [[0.000, 0.000, 0.000], [0.500, 0.500, 0.500], [0.750, 0.750, 0.750], [0.250, 0.250, 0.250]]
}

=====

No. 17
{
  "formula": "YThTe2",
  "functional": "PBE",
  "state": "relaxed",
  "dos_ef_per_ev_cell": 3.70,
  "dft_energy_ha_per_atom": -0.22665,
  "e_form_raw_ev_per_atom": -1.1257,
  "cell": [[0.000, 3.815, 3.815], [3.815, 0.000, 3.815], [3.815, 3.815, 0.000]],
  "species": ["Y", "Th", "Te", "Te"],
  "frac_coords": [[0.000, 0.000, 0.000], [0.500, 0.500, 0.500], [0.250, 0.250, 0.250], [0.750, 0.750, 0.750]]
}

=====

No. 18
{
  "formula": "TaCdPt6",
  "functional": "PBE",
  "state": "relaxed",
  "dos_ef_per_ev_cell": 4.92,
  "ef_ev_per_atom": -0.551,
  "dft_energy_ha_per_atom": -0.24541,
  "cell": [[4.023, 0.000, 0.000], [0.000, 4.023, 0.000], [0.000, 0.000, 8.010]],
  "species": ["Ta", "Cd", "Pt", "Pt", "Pt", "Pt", "Pt", "Pt"],
  "frac_coords": [[0.000, 0.000, 0.000], [0.000, 0.000, 0.500], [0.000, 0.500, 0.238], [0.000, 0.500, 0.762], [0.500, 0.000, 0.238], [0.500, 0.000, 0.762], [0.500, 0.500, 0.000], [0.500, 0.500, 0.500]]
}

=====

No. 19
{
  "formula": "SmZr2Zn",
  "functional": "PBE",
  "state": "relaxed",
  "dos_ef_per_ev_cell": 3.44,
  "ef_ev_per_atom": 0.005,
  "dft_energy_ha_per_atom": -0.21195,
  "cell": [[4.488, 0.000, 0.000], [0.000, 4.488, 0.000], [0.000, 0.000, 4.507]],
  "species": ["Sm", "Zr", "Zr", "Zn"],
  "frac_coords": [[0.000, 0.000, 0.000], [0.000, 0.500, 0.500], [0.500, 0.000, 0.500], [0.500, 0.500, 0.000]]
}

=====

No. 20
{
  "formula": "Zn3BiPd",
  "functional": "PBE",
  "state": "relaxed",
  "dos_ef_per_ev_cell": 1.72,
  "ef_ev_per_atom": 0.112,
  "dft_energy_ha_per_atom": -0.09066,
  "cell": [[4.815, 0.000, 0.000], [0.000, 4.815, 0.000], [0.000, 0.000, 4.815]],
  "species": ["Zn", "Zn", "Zn", "Bi", "Pd"],
  "frac_coords": [[0.000, 0.000, 0.500], [0.000, 0.500, 0.000], [0.500, 0.000, 0.000], [0.500, 0.500, 0.500], [0.000, 0.000, 0.000]]
}